(1)
# MgAuSe2N

MgAuSe2N after structural relaxation (PBE, Alexandria).

Computed properties:
Space-group type: P4/mmm
Crystal system: tetragonal
Density of states at the Fermi level in states/eV per atom: 0.9505
Mass density in g/cm3: 6.3

Unit cell a=5.1420 b=5.1420 c=3.9323 alpha=90.00 beta=90.00 gamma=90.00
Last column: nearest neighbours and their distance in Å.
Fractional positions:
Mg 0.0000 0.0000 0.0000  2 N 1.97
Au 0.5000 0.5000 0.5000  8 Se 3.24
Se 0.0000 0.5000 0.0000  2 Mg 2.57
Se 0.5000 0.0000 0.0000  2 Mg 2.57
N 0.0000 0.0000 0.5000  2 Mg 1.97

(2)
# MgAuSe2N

MgAuSe2N after structural relaxation (PBE, Alexandria).

Computed properties:
Space-group type: P4/mmm
Crystal system: tetragonal
Density of states at the Fermi level in states/eV per atom: 0.5497
Mass density in g/cm3: 6.1

Unit cell a=5.3341 b=5.3341 c=3.7895 alpha=90.00 beta=90.00 gamma=90.00
Last column: nearest neighbours and their distance in Å.
Fractional positions:
Mg 0.5000 0.5000 0.5000  8 Se 3.27
Au 0.0000 0.0000 0.0000  2 N 1.89
Se 0.0000 0.5000 0.0000  2 Au 2.67
Se 0.5000 0.0000 0.0000  2 Au 2.67
N 0.0000 0.0000 0.5000  2 Au 1.89

Quick ranking, most stable first: (2), (1).

(1)
# YMg2AuN

YMg2AuN after structural relaxation (PBE, Alexandria).

Computed properties:
Space-group type: P4/mmm
Crystal system: tetragonal
Density of states at the Fermi level in states/eV per atom: 0.5865
Mass density in g/cm3: 3.8

Unit cell a=6.1047 b=4.0809 c=6.1047 alpha=90.00 beta=90.00 gamma=90.00
Last column: nearest neighbours and their distance in Å.
Fractional positions:
Y 0.0000 0.0000 0.0000  2 N 2.04
Mg 0.0000 0.0000 0.5000  2 Y 3.05
Mg 0.5000 0.0000 0.0000  2 Y 3.05
Au 0.5000 0.5000 0.5000  8 Mg 3.67, 2 Au 4.08
N 0.0000 0.5000 0.0000  2 Y 2.04

(2)
# YMg2AuN

YMg2AuN after structural relaxation (PBE, Alexandria).

Computed properties:
Space-group type: P4/mmm
Crystal system: tetragonal
Density of states at the Fermi level in states/eV per atom: 0.6002
Mass density in g/cm3: 6.5

Unit cell a=4.3003 b=4.3003 c=4.8100 alpha=90.00 beta=90.00 gamma=90.00
Last column: nearest neighbours and their distance in Å.
Fractional positions:
Y 0.0000 0.0000 0.5000  2 N 2.40
Mg 0.0000 0.5000 0.0000  2 N 2.15
Mg 0.5000 0.0000 0.0000  2 N 2.15
Au 0.5000 0.5000 0.5000  4 Y 3.04, 8 Mg 3.23
N 0.0000 0.0000 0.0000  4 Mg 2.15, 2 Y 2.40

Quick ranking, most stable first: (2), (1).

(1)
# Mg2ZnAuN

Mg2ZnAuN after structural relaxation (PBE, Alexandria).

Computed properties:
Space-group type: P4/mmm
Crystal system: tetragonal
Density of states at the Fermi level in states/eV per atom: 0.5157
Mass density in g/cm3: 4.5

Unit cell a=5.0116 b=4.7572 c=5.0116 alpha=90.00 beta=90.00 gamma=90.00
Last column: nearest neighbours and their distance in Å.
Fractional positions:
Zn 0.0000 0.5000 0.0000  2 Au 2.38
Au 0.0000 0.0000 0.0000  2 Zn 2.38, 4 Mg 2.51
Mg 0.0000 0.0000 0.5000  2 Au 2.51
Mg 0.5000 0.0000 0.0000  2 Au 2.51
N 0.5000 0.5000 0.5000  8 Mg 3.45, 4 Zn 3.54

(2)
# Mg2ZnAuN

Mg2ZnAuN after structural relaxation (PBE, Alexandria).

Computed properties:
Space-group type: P4/mmm
Crystal system: tetragonal
Density of states at the Fermi level in states/eV per atom: 0.1732
Mass density in g/cm3: 7.1

Unit cell a=4.2360 b=4.2360 c=4.2132 alpha=90.00 beta=90.00 gamma=90.00
Last column: nearest neighbours and their distance in Å.
Fractional positions:
Zn 0.0000 0.0000 0.5000  2 N 2.11
Au 0.5000 0.5000 0.5000  8 Mg 2.99, 4 Zn 3.00
Mg 0.0000 0.5000 0.0000  2 N 2.12
Mg 0.5000 0.0000 0.0000  2 N 2.12
N 0.0000 0.0000 0.0000  2 Zn 2.11, 4 Mg 2.12

Quick ranking, most stable first: (2), (1).

(1)
# Mg2ZrAuN

Mg2ZrAuN after structural relaxation (PBE, Alexandria).

Computed properties:
Space-group type: P4/mmm
Crystal system: tetragonal
Density of states at the Fermi level in states/eV per atom: 0.8511
Mass density in g/cm3: 7.1

Unit cell a=4.2793 b=4.2793 c=4.4569 alpha=90.00 beta=90.00 gamma=90.00
Last column: nearest neighbours and their distance in Å.
Fractional positions:
Mg 0.0000 0.5000 0.0000  2 N 2.14
Mg 0.5000 0.0000 0.0000  2 N 2.14
Au 0.5000 0.5000 0.5000  4 Zr 3.03, 8 Mg 3.09
Zr 0.0000 0.0000 0.5000  2 N 2.23
N 0.0000 0.0000 0.0000  4 Mg 2.14, 2 Zr 2.23

(2)
# Mg2ZrAuN

Mg2ZrAuN after structural relaxation (PBE, Alexandria).

Computed properties:
Space-group type: P4/mmm
Crystal system: tetragonal
Density of states at the Fermi level in states/eV per atom: 2.2284
Mass density in g/cm3: 3.5

Unit cell a=5.7117 b=5.0749 c=5.7117 alpha=90.00 beta=90.00 gamma=90.00
Last column: nearest neighbours and their distance in Å.
Fractional positions:
Mg 0.0000 0.0000 0.5000  2 Zr 2.86
Mg 0.5000 0.0000 0.0000  2 Zr 2.86
Au 0.0000 0.5000 0.0000  2 Zr 2.54
Zr 0.0000 0.0000 0.0000  2 Au 2.54
N 0.5000 0.5000 0.5000  8 Mg 3.82, 4 Au 4.04

Quick ranking, most stable first: (1), (2).

(1)
# NaMgAu3

NaMgAu3 after structural relaxation (PBE, Alexandria).

Computed properties:
Space-group type: I4mm
Crystal system: tetragonal
Density of states at the Fermi level in states/eV per atom: 0.4177
Mass density in g/cm3: 9.7

Unit cell a=4.0935 b=4.0935 c=7.1145 alpha=106.72 beta=106.72 gamma=90.00
Last column: nearest neighbours and their distance in Å.
Fractional positions:
Na 0.9831 0.9831 0.9662  4 Au 2.97
Mg 0.6327 0.6327 0.2654  5 Au 2.61-2.73
Au 0.2714 0.7714 0.5428  2 Mg 2.73, 6 Au 2.89-2.92
Au 0.7714 0.2714 0.5428  2 Mg 2.73, 6 Au 2.89-2.92
Au 0.4317 0.4317 0.8634  1 Mg 2.61, 4 Au 2.92

(2)
# NaMgAu3

NaMgAu3 after structural relaxation (PBE, Alexandria).

Computed properties:
Space-group type: Pm-3m
Crystal system: cubic
Density of states at the Fermi level in states/eV per atom: 0.1791
Mass density in g/cm3: 8.1

Unit cell a=5.0826 b=5.0826 c=5.0826 alpha=90.00 beta=90.00 gamma=90.00
Last column: nearest neighbours and their distance in Å.
Fractional positions:
Na 0.5000 0.5000 0.5000  12 Au 3.59
Mg 0.0000 0.0000 0.0000  6 Au 2.54
Au 0.0000 0.5000 0.0000  2 Mg 2.54
Au 0.0000 0.0000 0.5000  2 Mg 2.54
Au 0.5000 0.0000 0.0000  2 Mg 2.54

Quick ranking, most stable first: (1), (2).

(1)
# NaMg2Au3

NaMg2Au3 after structural relaxation (PBE, Alexandria).

Computed properties:
Space-group type: P4/mmm
Crystal system: tetragonal
Density of states at the Fermi level in states/eV per atom: 0.2397
Mass density in g/cm3: 9.5

Unit cell a=3.2895 b=3.2895 c=10.6921 alpha=90.00 beta=90.00 gamma=90.00
Last column: nearest neighbours and their distance in Å.
Fractional positions:
Na 0.5000 0.5000 0.5000  8 Au 3.15, 4 Na 3.29
Mg 0.5000 0.5000 0.8434  8 Au 2.80-2.87
Mg 0.5000 0.5000 0.1566  8 Au 2.80-2.87
Au 0.0000 0.0000 0.0000  8 Mg 2.87
Au 0.0000 0.0000 0.6983  4 Mg 2.80
Au 0.0000 0.0000 0.3017  4 Mg 2.80

(2)
# NaMg2Au3

NaMg2Au3 after structural relaxation (PBE, Alexandria).

Computed properties:
Space-group type: Cmcm
Crystal system: orthorhombic
Density of states at the Fermi level in states/eV per atom: 0.2387
Mass density in g/cm3: 7.6

Unit cell a=5.9200 b=7.0814 c=7.0814 alpha=101.76 beta=90.00 gamma=90.00
Last column: nearest neighbours and their distance in Å.
Fractional positions:
Na 0.2500 0.2761 0.2761  5 Au 3.14-3.37
Na 0.7500 0.7239 0.7239  5 Au 3.14-3.37
Mg 0.5000 0.8004 0.1996  6 Au 2.73-2.80, 2 Mg 2.96
Mg 0.0000 0.8004 0.1996  6 Au 2.73-2.80, 2 Mg 2.96
Mg 0.0000 0.1996 0.8004  6 Au 2.73-2.80, 2 Mg 2.96
Mg 0.5000 0.1996 0.8004  6 Au 2.73-2.80, 2 Mg 2.96
Au 0.7500 0.4817 0.0499  4 Mg 2.73-2.80, 1 Au 2.82
Au 0.7500 0.0499 0.4817  4 Mg 2.73-2.80, 1 Au 2.82
Au 0.2500 0.5183 0.9501  4 Mg 2.73-2.80, 1 Au 2.82
Au 0.7500 0.0959 0.0959  4 Mg 2.78, 2 Au 2.82
Au 0.2500 0.9041 0.9041  4 Mg 2.78, 2 Au 2.82
Au 0.2500 0.9501 0.5183  4 Mg 2.73-2.80, 1 Au 2.82

Quick ranking, most stable first: (1), (2).

(1)
# NaMg2Au2

NaMg2Au2 after structural relaxation (PBE, Alexandria).

Computed properties:
Space-group type: I4/mmm
Crystal system: tetragonal
Density of states at the Fermi level in states/eV per atom: 0.3843
Mass density in g/cm3: 6.8

Unit cell a=4.3357 b=4.3357 c=6.7877 alpha=71.37 beta=71.37 gamma=90.00
Last column: nearest neighbours and their distance in Å.
Fractional positions:
Na 0.0000 0.0000 0.0000  8 Au 3.36, 8 Mg 3.72
Mg 0.7500 0.2500 0.5000  4 Au 2.73
Mg 0.2500 0.7500 0.5000  4 Au 2.73
Au 0.3872 0.3872 0.2256  4 Mg 2.73, 1 Au 2.73
Au 0.6128 0.6128 0.7744  4 Mg 2.73, 1 Au 2.73

(2)
# NaMg2Au2

NaMg2Au2 after structural relaxation (PBE, Alexandria).

Computed properties:
Space-group type: P-3m1
Crystal system: trigonal
Density of states at the Fermi level in states/eV per atom: 0.2588
Mass density in g/cm3: 7.0

Unit cell a=4.7670 b=4.7670 c=5.5777 alpha=90.00 beta=90.00 gamma=120.00
Last column: nearest neighbours and their distance in Å.
Fractional positions:
Na 0.0000 0.0000 0.0000  6 Au 2.93
Mg 0.3333 0.6667 0.6671  5 Au 2.70-2.88
Mg 0.6667 0.3333 0.3329  5 Au 2.70-2.88
Au 0.3333 0.6667 0.1824  5 Mg 2.70-2.88, 3 Na 2.93
Au 0.6667 0.3333 0.8176  5 Mg 2.70-2.88, 3 Na 2.93

(3)
# NaMg2Au2

NaMg2Au2 after structural relaxation (PBE, Alexandria).

Computed properties:
Space-group type: P4/mbm
Crystal system: tetragonal
Density of states at the Fermi level in states/eV per atom: 0.4189
Mass density in g/cm3: 7.6

Unit cell a=8.0010 b=8.0010 c=3.1784 alpha=90.00 beta=90.00 gamma=90.00
Last column: nearest neighbours and their distance in Å.
Fractional positions:
Na 0.0000 0.0000 0.0000  4 Au 3.06, 2 Na 3.18
Na 0.5000 0.5000 0.0000  4 Au 3.06, 2 Na 3.18
Mg 0.1479 0.6479 0.5000  6 Au 2.81-2.84
Mg 0.6479 0.8521 0.5000  6 Au 2.81-2.84
Mg 0.8521 0.3521 0.5000  6 Au 2.81-2.84
Mg 0.3521 0.1479 0.5000  6 Au 2.81-2.84
Au 0.3530 0.8530 0.0000  6 Mg 2.81-2.84, 2 Na 3.06
Au 0.8530 0.6470 0.0000  6 Mg 2.81-2.84, 2 Na 3.06
Au 0.6470 0.1470 0.0000  6 Mg 2.81-2.84, 2 Na 3.06
Au 0.1470 0.3530 0.0000  6 Mg 2.81-2.84, 2 Na 3.06

Quick ranking, most stable first: (3), (1), (2).

(1)
# NaSrMg2Au

NaSrMg2Au after structural relaxation (PBE, Alexandria).

Computed properties:
Space-group type: P4/mmm
Crystal system: tetragonal
Density of states at the Fermi level in states/eV per atom: 0.6376
Mass density in g/cm3: 3.5

Unit cell a=5.3004 b=5.3004 c=5.9424 alpha=90.00 beta=90.00 gamma=90.00
Last column: nearest neighbours and their distance in Å.
Fractional positions:
Sr 0.0000 0.0000 0.5000  2 Au 2.97
Mg 0.0000 0.5000 0.0000  2 Au 2.65
Mg 0.5000 0.0000 0.0000  2 Au 2.65
Au 0.0000 0.0000 0.0000  4 Mg 2.65
Na 0.5000 0.5000 0.5000  4 Sr 3.75, 8 Mg 3.98

(2)
# NaSrMg2Au

NaSrMg2Au after structural relaxation (PBE, Alexandria).

Computed properties:
Space-group type: P4/mmm
Crystal system: tetragonal
Density of states at the Fermi level in states/eV per atom: 0.6119
Mass density in g/cm3: 3.8

Unit cell a=5.2358 b=5.2358 c=5.6225 alpha=90.00 beta=90.00 gamma=90.00
Last column: nearest neighbours and their distance in Å.
Fractional positions:
Sr 0.5000 0.5000 0.5000  4 Na 3.70, 8 Mg 3.84
Mg 0.0000 0.5000 0.0000  2 Au 2.62
Mg 0.5000 0.0000 0.0000  2 Au 2.62
Au 0.0000 0.0000 0.0000  4 Mg 2.62, 2 Na 2.81
Na 0.0000 0.0000 0.5000  2 Au 2.81

Quick ranking, most stable first: (1), (2).